Record 1
# PBE Ag2GeAu3, optimized geometry
# Energy relative to the lowest polymorph listed for this composition   2.04 kJ per mole of atoms
data_Ag2GeAu3
_space_group_name_H-M_alt 'C m c m'
_space_group_IT_number 63
_space_group_name_Hall '-C 2c 2'
_cell_length_a 14.529
_cell_length_b 4.899
_cell_length_c 6.147
_cell_angle_alpha 90.00
_cell_angle_beta 90.00
_cell_angle_gamma 90.00
loop_
_atom_site_label
_atom_site_type_symbol
_atom_site_fract_x
_atom_site_fract_y
_atom_site_fract_z
Ag1 Ag 0.176 0.000 0.250
Ge1 Ge 0.000 0.498 0.250
Au1 Au 0.000 0.000 0.000
Au2 Au 0.157 0.500 0.000

***

Record 2
# PBE Ag2GeAu3, optimized geometry
# Energy relative to the lowest polymorph listed for this composition   0.00 kJ per mole of atoms
data_Ag2GeAu3
_space_group_name_H-M_alt 'P -1'
_space_group_IT_number 2
_cell_length_a 4.682
_cell_length_b 5.865
_cell_length_c 7.947
_cell_angle_alpha 88.21
_cell_angle_beta 89.70
_cell_angle_gamma 89.51
loop_
_space_group_symop_operation_xyz
'x,y,z'
'-x,-y,-z'
loop_
_atom_site_label
_atom_site_type_symbol
_atom_site_fract_x
_atom_site_fract_y
_atom_site_fract_z
Ag1 Ag 0.247 0.133 0.108
Ag2 Ag 0.250 0.873 0.440
Ge1 Ge 0.248 0.579 0.757
Au1 Au 0.249 0.112 0.758
Au2 Au 0.252 0.375 0.421
Au3 Au 0.255 0.641 0.089

***

Record 3
# PBE AgGe2Au, optimized geometry
# Energy relative to the lowest polymorph listed for this composition   7.48 kJ per mole of atoms
data_AgGe2Au
_space_group_name_H-M_alt 'I -4 2 d'
_space_group_IT_number 122
_space_group_name_Hall 'I -4 2bw'
_cell_length_a 7.529
_cell_length_b 7.529
_cell_length_c 5.635
_cell_angle_alpha 90.00
_cell_angle_beta 90.00
_cell_angle_gamma 90.00
loop_
_atom_site_label
_atom_site_type_symbol
_atom_site_fract_x
_atom_site_fract_y
_atom_site_fract_z
Ag1 Ag 0.000 0.000 0.000
Ge1 Ge 0.235 0.750 0.625
Au1 Au 0.000 0.000 0.500